DFT (meta-GGA SCAN) results for a crystal of ZrFe2Te relaxed with PBEsol.

Cell lengths 3.256, 3.256, 6.215 Å; angles 90.00, 90.00, 90.00 degrees
Fractional positions:
Fe (0.000, 0.000, 0.033)
Fe (0.500, 0.500, 0.220)
Zr (0.500, 0.500, 0.788)
Te (0.000, 0.000, 0.460)

Formation energy (no corrections): 0.01 eV/atom
SG: P4mm

---

DFT (meta-GGA SCAN) results for a crystal of ZrFe2Te relaxed with PBEsol.

Cell lengths 3.209, 3.209, 7.752 Å; angles 78.05, 78.05, 60.00 degrees
Fractional positions:
Te (0.500, 0.500, 0.500)
Fe (0.751, 0.751, 0.747)
Fe (0.249, 0.249, 0.253)
Zr (0.000, 0.000, 0.000)

Formation energy (no corrections): 0.42 eV/atom
SG: R-3m

---

DFT (meta-GGA SCAN) results for a crystal of Zr6FeTe2 relaxed with PBEsol.

Cell lengths 3.547, 7.732, 7.732 Å; angles 120.00, 90.00, 90.00 degrees
Fractional positions:
Zr (0.000, 0.403, 0.403)
Zr (0.500, 0.760, 0.760)
Zr (0.500, 0.240, 0.000)
Zr (0.500, 0.000, 0.240)
Zr (0.000, 0.597, 0.000)
Zr (0.000, 0.000, 0.597)
Te (0.500, 0.667, 0.333)
Te (0.500, 0.333, 0.667)
Fe (0.000, 0.000, 0.000)

Formation energy (no corrections): -0.57 eV/atom
SG: P-62m

---

DFT (meta-GGA SCAN) results for a crystal of Th2Fe7 relaxed with PBEsol.

Cell lengths 5.024, 5.024, 24.285 Å; angles 90.00, 90.00, 120.00 degrees
Fractional positions:
Fe (0.167, 0.334, 0.750)
Fe (0.167, 0.833, 0.750)
Fe (0.333, 0.166, 0.414)
Fe (0.334, 0.167, 0.250)
Fe (0.667, 0.834, 0.914)
Fe (0.667, 0.333, 0.332)
Fe (0.833, 0.167, 0.250)
Fe (0.000, 0.000, 0.500)
Fe (0.166, 0.834, 0.586)
Fe (0.834, 0.667, 0.086)
Fe (0.834, 0.166, 0.086)
Fe (0.333, 0.667, 0.668)
Fe (0.166, 0.333, 0.914)
Fe (0.833, 0.666, 0.250)
Fe (0.667, 0.834, 0.586)
Fe (0.166, 0.333, 0.586)
Fe (0.834, 0.667, 0.414)
Fe (0.000, 0.000, 0.169)
Fe (0.666, 0.833, 0.750)
Fe (0.000, 0.000, 0.669)
Fe (0.166, 0.834, 0.914)
Fe (0.333, 0.667, 0.832)
Fe (0.834, 0.166, 0.414)
Fe (0.000, 0.000, 0.000)
Fe (0.667, 0.333, 0.168)
Fe (0.000, 0.000, 0.331)
Fe (0.333, 0.166, 0.086)
Fe (0.000, 0.000, 0.831)
Th (0.333, 0.667, 0.472)
Th (0.333, 0.667, 0.327)
Th (0.333, 0.667, 0.173)
Th (0.667, 0.333, 0.673)
Th (0.333, 0.667, 0.028)
Th (0.667, 0.333, 0.528)
Th (0.667, 0.333, 0.827)
Th (0.667, 0.333, 0.972)

SG: P6_3/mmc
ΔE_f: -0.0095 eV/atom

---

DFT (meta-GGA SCAN) results for a crystal of TiFe relaxed with PBEsol.

Cell lengths 2.913, 2.913, 2.913 Å; angles 90.00, 90.00, 90.00 degrees
Fractional positions:
Fe (0.000, 0.000, 0.000)
Ti (0.500, 0.500, 0.500)

SG: Pm-3m
ΔE_f: -0.3752 eV/atom

---

DFT (meta-GGA SCAN) results for a crystal of TiTlFe2 relaxed with PBEsol.

Cell lengths 4.269, 4.269, 4.269 Å; angles 60.00, 60.00, 60.00 degrees
Fractional positions:
Tl (0.500, 0.500, 0.500)
Ti (0.000, 0.000, 0.000)
Fe (0.250, 0.250, 0.250)
Fe (0.750, 0.750, 0.750)

SG: Fm-3m
ΔE_f: 0.1905 eV/atom

---

DFT (meta-GGA SCAN) results for a crystal of YTi2Fe relaxed with PBEsol.

Cell lengths 4.510, 4.510, 4.510 Å; angles 60.00, 60.00, 60.00 degrees
Fractional positions:
Y (0.500, 0.500, 0.500)
Ti (0.250, 0.250, 0.250)
Ti (0.750, 0.750, 0.750)
Fe (0.000, 0.000, 0.000)

SG: Fm-3m
ΔE_f: 0.3385 eV/atom

---

DFT (meta-GGA SCAN) results for a crystal of ZrTiZn2Fe relaxed with PBEsol.

Cell lengths 3.978, 4.694, 4.694 Å; angles 90.00, 90.00, 90.00 degrees
Fractional positions:
Fe (0.500, 0.000, 0.000)
Zr (0.500, 0.500, 0.500)
Ti (0.000, 0.000, 0.000)
Zn (0.000, 0.500, 0.000)
Zn (0.000, 0.000, 0.500)

SG: P4/mmm
ΔE_f: 0.5865 eV/atom

---

These records have raw total energy values of -1.914, -1.884, -2.303, -2.604, -1.283, -2.276, -1.409, -1.308 Ry per atom, in the order they appear.